CrSnOsO6 | PBE with a Hubbard U | optimized geometry

Structure (POSCAR):
```
CrSnOsO6
1.0
5.130 0.000 0.000
-2.565 4.443 0.000
0.000 0.000 9.001
Cr Sn Os O
2 2 2 12
Direct
0.333 0.667 0.250 Cr
0.667 0.333 0.750 Cr
0.000 0.000 0.000 Sn
0.000 0.000 0.500 Sn
0.333 0.667 0.750 Os
0.667 0.333 0.250 Os
0.005 0.349 0.631 O
0.005 0.656 0.869 O
0.344 0.349 0.869 O
0.344 0.995 0.631 O
0.349 0.005 0.131 O
0.349 0.344 0.369 O
0.651 0.656 0.631 O
0.651 0.995 0.869 O
0.656 0.005 0.369 O
0.656 0.651 0.131 O
0.995 0.344 0.131 O
0.995 0.651 0.369 O
```

## Properties
Space-group type: No. 163
V (Å³/cell): 205.2
Total energy (eV/cell): -129.659
Mass density (g/cm3): 7.396